{
  "formula": "Pd4I",
  "functional": "PBE",
  "state": "relaxed",
  "raw_formation_energy_ev_per_fu": 3.83,
  "total_magnetization_mub_per_fu": 0.0,
  "density_g_cm3": 7.7,
  "space_group": "Pm-3m",
  "cell": [[-1.278, -4.275, 2.073], [4.510, -0.417, 1.922], [-1.494, 2.399, 4.027]],
  "species": ["I", "Pd", "Pd", "Pd", "Pd"],
  "frac_coords": [[0.500, 0.500, 0.500], [0.000, 0.000, 0.000], [0.500, 0.000, 0.500], [0.000, 0.500, 0.500], [0.500, 0.500, 0.000]]
}